1.
Computed, not measured: CdAg2H after structural relaxation at the PBE level of DFT. Values from VASP.

Quantum ESPRESSO input file:
```
&SYSTEM
  ibrav = 0, nat = 16, ntyp = 3
/
ATOMIC_SPECIES
Cd 112.41 Cd.upf
Ag 107.87 Ag.upf
H 1.01 H.upf
CELL_PARAMETERS angstrom
5.958 0.000 0.000
0.000 5.958 0.000
0.000 0.000 7.432
ATOMIC_POSITIONS crystal
Cd 0.000 0.000 0.000
Cd 0.000 0.500 0.250
Cd 0.500 0.000 0.750
Cd 0.500 0.500 0.500
Ag 0.112 0.250 0.625
Ag 0.250 0.612 0.875
Ag 0.250 0.888 0.375
Ag 0.388 0.250 0.125
Ag 0.612 0.750 0.125
Ag 0.750 0.112 0.375
Ag 0.750 0.388 0.875
Ag 0.888 0.750 0.625
H 0.000 0.000 0.500
H 0.000 0.500 0.750
H 0.500 0.000 0.250
H 0.500 0.500 0.000
```

Values from the calculation:
The space group is I-42d. For the total magnetization, the calculation gives 0.00 μB per cell. The value obtained for the total energy is -2.282 eV per atom. The density comes out at 8.288 Mg/m³.

---

2.
Computed, not measured: Be2CuW after structural relaxation at the PBE level of DFT. Values from VASP.

Quantum ESPRESSO input file:
```
&SYSTEM
  ibrav = 0, nat = 4, ntyp = 3
/
ATOMIC_SPECIES
Be 9.01 Be.upf
Cu 63.55 Cu.upf
W 183.84 W.upf
CELL_PARAMETERS angstrom
3.691 0.000 0.000
0.000 3.691 0.000
0.000 0.000 3.286
ATOMIC_POSITIONS crystal
Be 0.000 0.500 0.000
Be 0.500 0.000 0.000
Cu 0.000 0.000 0.500
W 0.500 0.500 0.500
```

Values from the calculation:
The space group is P4/mmm. For the formation energy, the calculation gives 0.33 eV per formula unit. For the total magnetization, the calculation gives 0.00 μB per cell. The density comes out at 9.843 Mg/m³.

---

3.
Computed, not measured: Sc2TlPb after structural relaxation at the PBE level of DFT. Values from VASP.

Quantum ESPRESSO input file:
```
&SYSTEM
  ibrav = 0, nat = 12, ntyp = 3
/
ATOMIC_SPECIES
Sc 44.96 Sc.upf
Tl 204.38 Tl.upf
Pb 207.20 Pb.upf
CELL_PARAMETERS angstrom
3.371 0.000 0.000
-1.685 2.919 0.000
0.000 0.000 33.257
ATOMIC_POSITIONS crystal
Sc 0.000 0.000 0.090
Sc 0.000 0.000 0.910
Sc 0.333 0.667 0.576
Sc 0.333 0.667 0.757
Sc 0.667 0.333 0.243
Sc 0.667 0.333 0.424
Tl 0.000 0.000 0.000
Tl 0.333 0.667 0.667
Tl 0.667 0.333 0.333
Pb 0.000 0.000 0.500
Pb 0.333 0.667 0.167
Pb 0.667 0.333 0.833
```

Values from the calculation:
The space group is R-3m. For the formation energy, the calculation gives 0.16 eV per formula unit. For the total magnetization, the calculation gives 0.00 μB per cell. The density comes out at 7.635 Mg/m³.

---

4.
Computed, not measured: PRuO2F after structural relaxation at the PBE level of DFT. Values from VASP.

Quantum ESPRESSO input file:
```
&SYSTEM
  ibrav = 0, nat = 5, ntyp = 4
/
ATOMIC_SPECIES
P 30.97 P.upf
Ru 101.07 Ru.upf
O 16.00 O.upf
F 19.00 F.upf
CELL_PARAMETERS angstrom
3.686 0.000 0.000
0.000 3.686 0.000
0.000 0.000 5.057
ATOMIC_POSITIONS crystal
P 0.000 0.000 0.000
Ru 0.000 0.000 0.500
O 0.000 0.500 0.500
O 0.500 0.000 0.500
F 0.500 0.500 0.000
```

Values from the calculation:
The space group is P4/mmm. For the total magnetization, the calculation gives 0.00 μB per cell. The density comes out at 4.425 Mg/m³. As for the energy relative to the elements, uncorrected: -0.4559 eV per atom.

---

5.
Computed, not measured: MgRh2 after structural relaxation at the PBE level of DFT. Values from VASP.

Quantum ESPRESSO input file:
```
&SYSTEM
  ibrav = 0, nat = 3, ntyp = 2
/
ATOMIC_SPECIES
Mg 24.30 Mg.upf
Rh 102.91 Rh.upf
CELL_PARAMETERS angstrom
3.598 0.000 0.000
0.000 3.598 0.000
0.000 0.000 4.291
ATOMIC_POSITIONS crystal
Mg 0.000 0.000 0.000
Rh 0.000 0.500 0.500
Rh 0.500 0.000 0.500
```

Values from the calculation:
The space group is P4/mmm. For the formation energy, the calculation gives 0.61 eV per formula unit. For the total magnetization, the calculation gives 1.09 μB per cell. The density comes out at 6.878 Mg/m³.

---

6.
Computed, not measured: CeAlNiPd after structural relaxation at the PBE level of DFT. Values from VASP.

Quantum ESPRESSO input file:
```
&SYSTEM
  ibrav = 0, nat = 16, ntyp = 4
/
ATOMIC_SPECIES
Ce 140.12 Ce.upf
Al 26.98 Al.upf
Ni 58.69 Ni.upf
Pd 106.42 Pd.upf
CELL_PARAMETERS angstrom
6.598 0.000 0.000
0.000 6.598 0.000
0.000 0.000 6.598
ATOMIC_POSITIONS crystal
Ce 0.000 0.000 0.000
Ce 0.000 0.500 0.500
Ce 0.500 0.000 0.500
Ce 0.500 0.500 0.000
Al 0.000 0.000 0.500
Al 0.000 0.500 0.000
Al 0.500 0.000 0.000
Al 0.500 0.500 0.500
Ni 0.250 0.250 0.250
Ni 0.250 0.750 0.750
Ni 0.750 0.250 0.750
Ni 0.750 0.750 0.250
Pd 0.250 0.250 0.750
Pd 0.250 0.750 0.250
Pd 0.750 0.250 0.250
Pd 0.750 0.750 0.750
```

Values from the calculation:
The space group is F-43m. For the formation energy, the calculation gives -2.03 eV per formula unit. For the total magnetization, the calculation gives 0.08 μB per cell. The density comes out at 7.682 Mg/m³.

---

7.
Computed, not measured: ZrCo2Hg after structural relaxation at the PBE level of DFT. Values from VASP.

Quantum ESPRESSO input file:
```
&SYSTEM
  ibrav = 0, nat = 12, ntyp = 3
/
ATOMIC_SPECIES
Zr 91.22 Zr.upf
Co 58.93 Co.upf
Hg 200.59 Hg.upf
CELL_PARAMETERS angstrom
2.974 0.000 0.000
-1.487 2.575 0.000
0.000 0.000 26.508
ATOMIC_POSITIONS crystal
Zr 0.000 0.000 0.000
Zr 0.333 0.667 0.667
Zr 0.667 0.333 0.333
Co 0.000 0.000 0.481
Co 0.000 0.000 0.753
Co 0.333 0.667 0.147
Co 0.333 0.667 0.419
Co 0.667 0.333 0.086
Co 0.667 0.333 0.814
Hg 0.000 0.000 0.233
Hg 0.333 0.667 0.899
Hg 0.667 0.333 0.566
```

Values from the calculation:
The space group is R3m. For the formation energy, the calculation gives 1.33 eV per formula unit. For the total magnetization, the calculation gives 10.35 μB per cell. The density comes out at 10.054 Mg/m³.

---

8.
Computed, not measured: AgAsSe4 after structural relaxation at the PBE level of DFT. Values from VASP.

Quantum ESPRESSO input file:
```
&SYSTEM
  ibrav = 0, nat = 6, ntyp = 3
/
ATOMIC_SPECIES
Ag 107.87 Ag.upf
As 74.92 As.upf
Se 78.96 Se.upf
CELL_PARAMETERS angstrom
0.000 4.030 4.030
4.030 0.000 4.030
4.030 4.030 0.000
ATOMIC_POSITIONS crystal
Ag 0.000 0.000 0.000
As 0.750 0.750 0.750
Se 0.375 0.375 0.375
Se 0.375 0.375 0.874
Se 0.375 0.874 0.375
Se 0.874 0.375 0.375
```

Values from the calculation:
The space group is F-43m. For the total magnetization, the calculation gives 0.00 μB per cell. The density comes out at 6.325 Mg/m³. As for the energy relative to the elements, uncorrected: 0.6985 eV per atom.

---

9.
Computed, not measured: Zr2MnCl after structural relaxation at the PBE level of DFT. Values from VASP.

Quantum ESPRESSO input file:
```
&SYSTEM
  ibrav = 0, nat = 8, ntyp = 3
/
ATOMIC_SPECIES
Zr 91.22 Zr.upf
Mn 54.94 Mn.upf
Cl 35.45 Cl.upf
CELL_PARAMETERS angstrom
4.387 0.000 0.000
0.000 4.416 0.000
0.000 0.000 7.679
ATOMIC_POSITIONS crystal
Zr 0.000 0.000 0.206
Zr 0.000 0.000 0.794
Zr 0.500 0.500 0.206
Zr 0.500 0.500 0.794
Mn 0.000 0.500 0.000
Mn 0.500 0.000 0.000
Cl 0.000 0.500 0.500
Cl 0.500 0.000 0.500
```

Values from the calculation:
The space group is Cmmm. For the total magnetization, the calculation gives 0.00 μB per cell. The density comes out at 6.091 Mg/m³. As for the energy relative to the elements, uncorrected: -0.3953 eV per atom.

---

10.
Computed, not measured: CoSiHg after structural relaxation at the PBE level of DFT. Values from VASP.

Quantum ESPRESSO input file:
```
&SYSTEM
  ibrav = 0, nat = 3, ntyp = 3
/
ATOMIC_SPECIES
Co 58.93 Co.upf
Si 28.09 Si.upf
Hg 200.59 Hg.upf
CELL_PARAMETERS angstrom
2.982 0.000 0.000
-1.491 2.583 0.000
0.000 0.000 6.256
ATOMIC_POSITIONS crystal
Co 0.000 0.000 0.000
Si 0.667 0.333 0.763
Hg 0.333 0.667 0.355
```

Values from the calculation:
The space group is P3m1. For the total magnetization, the calculation gives 0.68 μB per cell. The density comes out at 9.912 Mg/m³. As for the energy relative to the elements, uncorrected: 0.2514 eV per atom.

---

11.
Computed, not measured: TeI2NF after structural relaxation at the PBE level of DFT. Values from VASP.

Quantum ESPRESSO input file:
```
&SYSTEM
  ibrav = 0, nat = 5, ntyp = 4
/
ATOMIC_SPECIES
Te 127.60 Te.upf
I 126.90 I.upf
N 14.01 N.upf
F 19.00 F.upf
CELL_PARAMETERS angstrom
6.556 0.000 0.000
0.000 6.556 0.000
0.000 0.000 3.236
ATOMIC_POSITIONS crystal
Te 0.000 0.000 0.000
I 0.000 0.500 0.500
I 0.500 0.000 0.500
N 0.500 0.500 0.000
F 0.500 0.500 0.500
```

Values from the calculation:
The space group is P4/mmm. For the total magnetization, the calculation gives 0.00 μB per cell. The density comes out at 4.948 Mg/m³. As for the energy relative to the elements, uncorrected: 1.1638 eV per atom.

---

12.
Computed, not measured: LiBe2Ru after structural relaxation at the PBE level of DFT. Values from VASP.

Quantum ESPRESSO input file:
```
&SYSTEM
  ibrav = 0, nat = 4, ntyp = 3
/
ATOMIC_SPECIES
Li 6.94 Li.upf
Be 9.01 Be.upf
Ru 101.07 Ru.upf
CELL_PARAMETERS angstrom
2.717 0.000 0.000
0.000 2.717 0.000
0.000 0.000 6.012
ATOMIC_POSITIONS crystal
Li 0.000 0.000 0.000
Be 0.000 0.000 0.541
Be 0.500 0.500 0.718
Ru 0.500 0.500 0.315
```

Values from the calculation:
The space group is P4mm. For the formation energy, the calculation gives 0.50 eV per formula unit. For the total magnetization, the calculation gives 0.00 μB per cell. The density comes out at 4.717 Mg/m³.

---

13.
Computed, not measured: Ti2Ga2S7 after structural relaxation at the PBE level of DFT. Values from VASP.

Quantum ESPRESSO input file:
```
&SYSTEM
  ibrav = 0, nat = 11, ntyp = 3
/
ATOMIC_SPECIES
Ti 47.87 Ti.upf
Ga 69.72 Ga.upf
S 32.06 S.upf
CELL_PARAMETERS angstrom
3.873 -5.127 0.000
3.873 5.127 0.000
-1.703 0.000 6.165
ATOMIC_POSITIONS crystal
Ti 0.175 0.825 0.000
Ti 0.825 0.175 0.000
Ga 0.266 0.266 0.631
Ga 0.734 0.734 0.369
S 0.049 0.430 0.800
S 0.096 0.096 0.246
S 0.430 0.049 0.800
S 0.500 0.500 0.500
S 0.570 0.951 0.200
S 0.904 0.904 0.754
S 0.951 0.570 0.200
```

Values from the calculation:
The space group is C2/m. For the total magnetization, the calculation gives 0.00 μB per cell. The density comes out at 3.118 Mg/m³. As for the energy relative to the elements, uncorrected: -0.7471 eV per atom.

---

14.
Computed, not measured: ScBeCoCu2 after structural relaxation at the PBE level of DFT. Values from VASP.

Quantum ESPRESSO input file:
```
&SYSTEM
  ibrav = 0, nat = 5, ntyp = 4
/
ATOMIC_SPECIES
Sc 44.96 Sc.upf
Be 9.01 Be.upf
Co 58.93 Co.upf
Cu 63.55 Cu.upf
CELL_PARAMETERS angstrom
4.467 0.000 0.000
0.000 4.467 0.000
0.000 0.000 4.361
ATOMIC_POSITIONS crystal
Sc 0.000 0.000 0.000
Be 0.500 0.500 0.000
Co 0.000 0.000 0.500
Cu 0.000 0.500 0.500
Cu 0.500 0.000 0.500
```

Values from the calculation:
The space group is P4/mmm. For the formation energy, the calculation gives 3.88 eV per formula unit. For the total magnetization, the calculation gives 0.00 μB per cell. The density comes out at 4.579 Mg/m³.

---

15.
Computed, not measured: CsTcPb3 after structural relaxation at the PBE level of DFT. Values from VASP.

Quantum ESPRESSO input file:
```
&SYSTEM
  ibrav = 0, nat = 5, ntyp = 3
/
ATOMIC_SPECIES
Cs 132.91 Cs.upf
Tc 98.00 Tc.upf
Pb 207.20 Pb.upf
CELL_PARAMETERS angstrom
6.196 0.000 0.000
0.000 6.196 0.000
0.000 0.000 6.196
ATOMIC_POSITIONS crystal
Cs 0.000 0.000 0.000
Tc 0.500 0.500 0.500
Pb 0.000 0.000 0.500
Pb 0.000 0.500 0.000
Pb 0.500 0.000 0.000
```

Values from the calculation:
The space group is Pm-3m. For the formation energy, the calculation gives 10.61 eV per formula unit. For the total magnetization, the calculation gives 3.44 μB per cell. The density comes out at 5.951 Mg/m³.

---

16.
Computed, not measured: MnSbP2 after structural relaxation at the PBE level of DFT. Values from VASP.

Quantum ESPRESSO input file:
```
&SYSTEM
  ibrav = 0, nat = 16, ntyp = 3
/
ATOMIC_SPECIES
Mn 54.94 Mn.upf
Sb 121.76 Sb.upf
P 30.97 P.upf
CELL_PARAMETERS angstrom
5.612 0.000 0.000
0.000 5.612 0.000
0.000 0.000 10.692
ATOMIC_POSITIONS crystal
Mn 0.000 0.000 0.000
Mn 0.000 0.500 0.250
Mn 0.500 0.000 0.750
Mn 0.500 0.500 0.500
Sb 0.000 0.000 0.500
Sb 0.000 0.500 0.750
Sb 0.500 0.000 0.250
Sb 0.500 0.500 0.000
P 0.175 0.250 0.125
P 0.250 0.675 0.375
P 0.250 0.825 0.875
P 0.325 0.250 0.625
P 0.675 0.750 0.625
P 0.750 0.175 0.875
P 0.750 0.325 0.375
P 0.825 0.750 0.125
```

Values from the calculation:
The space group is I-42d. For the total magnetization, the calculation gives 0.00 μB per cell. The density comes out at 4.707 Mg/m³. As for the energy relative to the elements, uncorrected: 0.1451 eV per atom.

---

17.
Computed, not measured: SrLa2Cd after structural relaxation at the PBE level of DFT. Values from VASP.

Quantum ESPRESSO input file:
```
&SYSTEM
  ibrav = 0, nat = 4, ntyp = 3
/
ATOMIC_SPECIES
Sr 87.62 Sr.upf
La 138.91 La.upf
Cd 112.41 Cd.upf
CELL_PARAMETERS angstrom
3.950 0.000 0.000
0.000 5.830 0.000
0.000 0.000 6.089
ATOMIC_POSITIONS crystal
Sr 0.000 0.000 0.000
La 0.000 0.500 0.500
La 0.500 0.000 0.500
Cd 0.500 0.500 0.000
```

Values from the calculation:
The space group is Pmmm. For the formation energy, the calculation gives -0.01 eV per formula unit. For the total magnetization, the calculation gives 0.00 μB per cell. The density comes out at 5.659 Mg/m³.

---

18.
Computed, not measured: CaScAl after structural relaxation at the PBE level of DFT. Values from VASP.

Quantum ESPRESSO input file:
```
&SYSTEM
  ibrav = 0, nat = 6, ntyp = 3
/
ATOMIC_SPECIES
Ca 40.08 Ca.upf
Sc 44.96 Sc.upf
Al 26.98 Al.upf
CELL_PARAMETERS angstrom
5.098 0.000 0.000
-2.549 4.415 0.000
0.000 0.000 6.646
ATOMIC_POSITIONS crystal
Ca 0.000 0.000 0.000
Ca 0.000 0.000 0.500
Sc 0.333 0.667 0.250
Sc 0.667 0.333 0.750
Al 0.333 0.667 0.750
Al 0.667 0.333 0.250
```

Values from the calculation:
The space group is P6_3/mmc. For the formation energy, the calculation gives -0.53 eV per formula unit. For the total magnetization, the calculation gives 0.00 μB per cell. The density comes out at 2.487 Mg/m³.

---

19.
Computed, not measured: KGa2Ag after structural relaxation at the PBE level of DFT. Values from VASP.

Quantum ESPRESSO input file:
```
&SYSTEM
  ibrav = 0, nat = 4, ntyp = 3
/
ATOMIC_SPECIES
K 39.10 K.upf
Ga 69.72 Ga.upf
Ag 107.87 Ag.upf
CELL_PARAMETERS angstrom
3.456 0.000 0.000
0.000 3.456 0.000
0.000 0.000 8.032
ATOMIC_POSITIONS crystal
K 0.000 0.000 0.000
Ga 0.500 0.500 0.318
Ga 0.500 0.500 0.682
Ag 0.000 0.000 0.500
```

Values from the calculation:
The space group is P4/mmm. For the formation energy, the calculation gives 0.05 eV per formula unit. For the total magnetization, the calculation gives 0.00 μB per cell. The density comes out at 4.957 Mg/m³.

---

20.
Computed, not measured: LaReHRh after structural relaxation at the PBE level of DFT. Values from VASP.

Quantum ESPRESSO input file:
```
&SYSTEM
  ibrav = 0, nat = 4, ntyp = 4
/
ATOMIC_SPECIES
La 138.91 La.upf
Re 186.21 Re.upf
H 1.01 H.upf
Rh 102.91 Rh.upf
CELL_PARAMETERS angstrom
4.060 0.000 0.000
0.000 4.605 0.000
-1.993 0.000 3.882
ATOMIC_POSITIONS crystal
La 0.000 0.000 0.000
Re 0.670 0.500 0.327
H 0.103 0.500 0.225
Rh 0.350 0.500 0.703
```

Values from the calculation:
The space group is Pm. For the total magnetization, the calculation gives 0.00 μB per cell. The value obtained for the total energy is -7.068 eV per atom. The density comes out at 9.817 Mg/m³.